The following is a PBE-GGA calculation of a relaxed LiLaSn2 crystal, from the Alexandria database.

Lattice parameters (Å, degrees): 9.9763 9.9763 4.5893 90.00 90.00 153.68
With the nearest neighbours (Å) after each atom.
Fractional coordinates of all 8 atoms:
Li1 0.1745 0.8255 0.7500  5 Sn 2.55-2.72
Li2 0.8255 0.1745 0.2500  5 Sn 2.55-2.72
La1 0.3943 0.6057 0.7500  10 Sn 3.45-3.68, 4 Li 3.49
La2 0.6057 0.3943 0.2500  10 Sn 3.45-3.68, 4 Li 3.49
Sn1 0.0431 0.9569 0.7500  1 Li 2.55, 2 Sn 2.84
Sn2 0.2497 0.7503 0.2500  4 Li 2.71-2.72
Sn3 0.7503 0.2497 0.7500  4 Li 2.71-2.72
Sn4 0.9569 0.0431 0.2500  1 Li 2.55, 2 Sn 2.84

The calculation puts the uncorrected energy at -4.35 eV/atom.

The following is a PBE-GGA calculation of a relaxed NiBiAs crystal, from the Alexandria database.

Lattice parameters (Å, degrees): 3.8361 3.8361 5.0266 90.00 90.00 120.00
With the nearest neighbours (Å) after each atom.
Fractional coordinates of all 3 atoms:
Ni1 0.0000 0.0000 0.0000  3 As 2.35
Bi1 0.6667 0.3333 0.3136  3 Ni 2.72
As1 0.3333 0.6667 0.8433  3 Ni 2.35

For the offset from the most stable computed form, the calculation gives 52 meV/atom. The calculation puts the uncorrected energy at -4.86 eV/atom.